Record 1
VASP calculation (PBE) on a geometry-optimized NaTa3F structure.

Values from the calculation:
Energy relative to the elements, uncorrected = 2.486 eV per atom
Density of states at the Fermi level = 4.7 states/eV/cell
Energy above the lowest structure with this stoichiometry = 1811.3 meV per atom
Theoretical density = 9.2 g/cm3
Space group = Pm-3m, No. 221

a b c (Å): 4.724 4.724 4.724
angles (deg): 90.00 90.00 90.00
Sites, in units of the cell vectors:
Na 0.000 0.000 0.000
Ta 0.000 0.000 0.500
Ta 0.000 0.500 0.000
Ta 0.500 0.000 0.000
F 0.500 0.500 0.500



Record 2
VASP calculation (PBE) on a geometry-optimized Tb3Nd3Pt2 structure.

Values from the calculation:
Density of states at the Fermi level = 13.5 states/eV/cell
Calculated formation energy = -4.57 eV per formula unit
Theoretical density = 9.3 g/cm3
Space group = Cmcm, No. 63

a b c (Å): 6.813 6.813 17.706
angles (deg): 90.00 90.00 145.65
Sites, in units of the cell vectors:
Tb 0.112 0.888 0.750
Tb 0.156 0.844 0.042
Tb 0.156 0.844 0.458
Tb 0.844 0.156 0.542
Tb 0.844 0.156 0.958
Tb 0.888 0.112 0.250
Nd 0.160 0.840 0.250
Nd 0.452 0.548 0.104
Nd 0.452 0.548 0.396
Nd 0.548 0.452 0.604
Nd 0.548 0.452 0.896
Nd 0.840 0.160 0.750
Pt 0.244 0.756 0.623
Pt 0.244 0.756 0.877
Pt 0.756 0.244 0.123
Pt 0.756 0.244 0.377



Record 3
VASP calculation (PBE) on a geometry-optimized Mn2AlTl structure.

Values from the calculation:
Density of states at the Fermi level = 15.7 states/eV/cell
Calculated formation energy = 1.36 eV per formula unit
Energy above the lowest structure with this stoichiometry = 123.9 meV per atom
Theoretical density = 8.6 g/cm3
Space group = Fm-3m, No. 225

a b c (Å): 6.411 6.411 6.411
angles (deg): 90.00 90.00 90.00
Sites, in units of the cell vectors:
Mn 0.250 0.250 0.250
Mn 0.250 0.250 0.750
Mn 0.250 0.750 0.250
Mn 0.250 0.750 0.750
Mn 0.750 0.250 0.250
Mn 0.750 0.250 0.750
Mn 0.750 0.750 0.250
Mn 0.750 0.750 0.750
Al 0.000 0.000 0.000
Al 0.000 0.500 0.500
Al 0.500 0.000 0.500
Al 0.500 0.500 0.000
Tl 0.000 0.000 0.500
Tl 0.000 0.500 0.000
Tl 0.500 0.000 0.000
Tl 0.500 0.500 0.500



Record 4
VASP calculation (PBE) on a geometry-optimized CaPAu2F structure.

Values from the calculation:
Energy relative to the elements, uncorrected = -0.448 eV per atom
Density of states at the Fermi level = 1.6 states/eV/cell
Theoretical density = 7.9 g/cm3
Space group = P4/mmm, No. 123

a b c (Å): 4.910 4.910 4.234
angles (deg): 90.00 90.00 90.00
Sites, in units of the cell vectors:
Ca 0.000 0.000 0.000
P 0.500 0.500 0.000
Au 0.000 0.500 0.500
Au 0.500 0.000 0.500
F 0.000 0.000 0.500



Among the records above, which one has the lowest theoretical density?
CaPAu2F



What is the density of states at the Fermi level in the third record?
15.7 states/eV/cell